1.
DFT (GGA-PBE) results for crystalline Rb2CoBCl6 at its relaxed geometry.

```
data_Rb2CoBCl6
_chemical_formula_sum 'Rb4 Co2 B2 Cl12'
_symmetry_space_group_name_H-M 'I 4/m m m'
_symmetry_Int_Tables_number 139
_symmetry_space_group_name_Hall '-I 4 2'
_cell_length_a 6.796
_cell_length_b 6.796
_cell_length_c 10.957
_cell_angle_alpha 90.00
_cell_angle_beta 90.00
_cell_angle_gamma 90.00
loop_
_atom_site_label
_atom_site_type_symbol
_atom_site_fract_x
_atom_site_fract_y
_atom_site_fract_z
Rb1 Rb 0.000 0.500 0.250
Co1 Co 0.000 0.000 0.000
B1 B 0.000 0.000 0.500
Cl1 Cl 0.000 0.000 0.204
Cl2 Cl 0.211 0.211 0.500
```

Properties
DFT total energy	-70.0	eV/cell
raw formation energy	-790	kJ/mol of formula units



2.
DFT (GGA-PBE) results for crystalline CoBS2Cl at its relaxed geometry.

```
data_CoBS2Cl
_chemical_formula_sum 'Co1 B1 S2 Cl1'
_symmetry_space_group_name_H-M 'P 4/m m m'
_symmetry_Int_Tables_number 123
_symmetry_space_group_name_Hall '-P 4 2'
_cell_length_a 4.349
_cell_length_b 4.349
_cell_length_c 4.959
_cell_angle_alpha 90.00
_cell_angle_beta 90.00
_cell_angle_gamma 90.00
loop_
_atom_site_label
_atom_site_type_symbol
_atom_site_fract_x
_atom_site_fract_y
_atom_site_fract_z
Co1 Co 0.000 0.000 0.000
B1 B 0.500 0.500 0.500
S1 S 0.000 0.500 0.000
Cl1 Cl 0.000 0.000 0.500
```

Properties
DFT total energy	-18.7	eV/cell
raw formation energy	496	kJ/mol of formula units



3.
DFT (GGA-PBE) results for crystalline CoBS2Cl at its relaxed geometry.

```
data_CoBS2Cl
_chemical_formula_sum 'Co1 B1 S2 Cl1'
_symmetry_space_group_name_H-M 'P 4/m m m'
_symmetry_Int_Tables_number 123
_symmetry_space_group_name_Hall '-P 4 2'
_cell_length_a 3.860
_cell_length_b 3.860
_cell_length_c 6.444
_cell_angle_alpha 90.00
_cell_angle_beta 90.00
_cell_angle_gamma 90.00
loop_
_atom_site_label
_atom_site_type_symbol
_atom_site_fract_x
_atom_site_fract_y
_atom_site_fract_z
Co1 Co 0.000 0.000 0.000
B1 B 0.500 0.500 0.500
S1 S 0.000 0.500 0.500
Cl1 Cl 0.500 0.500 0.000
```

Properties
DFT total energy	-19.7	eV/cell
raw formation energy	407	kJ/mol of formula units



4.
DFT (GGA-PBE) results for crystalline V2CoBCl at its relaxed geometry.

```
data_V2CoBCl
_chemical_formula_sum 'V2 Co1 B1 Cl1'
_symmetry_space_group_name_H-M 'P 4/m m m'
_symmetry_Int_Tables_number 123
_symmetry_space_group_name_Hall '-P 4 2'
_cell_length_a 4.440
_cell_length_b 4.440
_cell_length_c 3.984
_cell_angle_alpha 90.00
_cell_angle_beta 90.00
_cell_angle_gamma 90.00
loop_
_atom_site_label
_atom_site_type_symbol
_atom_site_fract_x
_atom_site_fract_y
_atom_site_fract_z
V1 V 0.000 0.500 0.000
Co1 Co 0.000 0.000 0.000
B1 B 0.500 0.500 0.500
Cl1 Cl 0.000 0.000 0.500
```

Properties
DFT total energy	-26.0	eV/cell
raw formation energy	755	kJ/mol of formula units